*P*
# LiLaRu

A relaxed LiLaRu crystal (PBE-GGA, Alexandria).

abc: 4.551 4.551 4.551
angles: 60.00 60.00 60.00
Fractional positions:
La 0.000 0.000 0.000
Li 0.500 0.500 0.500
Ru 0.750 0.750 0.750

* space group: F-43m (216)
* theoretical density: 6.15 g cm⁻³

*Q*
# LiLaRu

A relaxed LiLaRu crystal (PBE-GGA, Alexandria).

abc: 4.657 5.522 7.224
angles: 55.10 89.99 65.05
Fractional positions:
Li 0.995 0.301 0.873
Li 0.599 0.092 0.723
La 0.216 0.859 0.479
La 0.378 0.534 0.117
Ru 0.630 0.031 0.139
Ru 0.964 0.363 0.457

* space group: C2/m (12)
* theoretical density: 6.27 g cm⁻³

*R*
# LiLaRu

A relaxed LiLaRu crystal (PBE-GGA, Alexandria).

abc: 5.409 6.369 8.322
angles: 113.72 90.00 90.00
Fractional positions:
La 0.926 0.821 0.116
La 0.574 0.821 0.616
La 0.074 0.179 0.884
La 0.426 0.179 0.384
Ru 0.344 0.846 0.003
Ru 0.656 0.154 0.997
Ru 0.844 0.154 0.497
Ru 0.156 0.846 0.503
Li 0.428 0.577 0.188
Li 0.572 0.423 0.812
Li 0.072 0.577 0.688
Li 0.928 0.423 0.312

* space group: P2_1/c (14)
* theoretical density: 6.25 g cm⁻³

Most stable structure among those shown: *Q*. Next: +14 meV per atom.